VASP calculation (PBE) on SrSn3Au2 after structural relaxation.

Summary:
spin magnetization	0.0	μB per formula unit
crystal system	monoclinic
V	476.4	Å³/cell
space-group type	C2/m (12)
energy of formation	-241	kJ/mol of formula units
energy above the most stable polymorph in this dataset	0.03	eV per formula unit

Cell and atoms, written as CIF:
```
data_SrSn3Au2
_chemical_formula_sum 'Sr3 Sn9 Au6'
_cell_length_a 9.582
_cell_length_b 9.582
_cell_length_c 11.464
_cell_angle_alpha 104.36
_cell_angle_beta 104.36
_cell_angle_gamma 27.91
_space_group_name_H-M_alt 'P 1'
_space_group_IT_number 1
loop_
_space_group_symop_operation_xyz
'x,y,z'
loop_
_atom_site_label
_atom_site_fract_x
_atom_site_fract_y
_atom_site_fract_z
_atom_site_occupancy
Sr1 0.000 0.000 0.000 1
Sr2 0.161 0.161 0.710 1
Sr3 0.839 0.839 0.290 1
Sn1 0.035 0.035 0.341 1
Sn2 0.205 0.205 0.374 1
Sn3 0.331 0.331 0.044 1
Sn4 0.373 0.373 0.798 1
Sn5 0.500 0.500 0.500 1
Sn6 0.627 0.627 0.202 1
Sn7 0.669 0.669 0.956 1
Sn8 0.795 0.795 0.626 1
Sn9 0.965 0.965 0.659 1
Au1 0.196 0.196 0.112 1
Au2 0.351 0.351 0.506 1
Au3 0.470 0.470 0.198 1
Au4 0.530 0.530 0.802 1
Au5 0.649 0.649 0.494 1
Au6 0.804 0.804 0.888 1
```